Density functional theory data (GGA-PBE) for an optimized crystal structure of Sm4DyEr5.

* energy above the lowest structure with this stoichiometry: 0 meV/atom
* total moment: 0.000 μB/atom
* V: 333 Å³/f.u.
* energy of formation from the pure elements: 0.19 eV/atom

```
data_Sm4DyEr5
_chemical_formula_sum 'Sm8 Dy2 Er10'
_cell_length_a 17.086
_cell_length_b 3.512
_cell_length_c 11.101
_cell_angle_alpha 90.00
_cell_angle_beta 90.04
_cell_angle_gamma 90.00
_space_group_name_H-M_alt 'C 1 2/m 1'
_space_group_IT_number 12
loop_
_space_group_symop_operation_xyz
'x,y,z'
'-x,-y,-z'
'-x,y,-z'
'x,-y,z'
'x+1/2,y+1/2,z'
'-x+1/2,-y+1/2,-z'
'-x+1/2,y+1/2,-z'
'x+1/2,-y+1/2,z'
loop_
_atom_site_label
_atom_site_fract_x
_atom_site_fract_y
_atom_site_fract_z
Sm1 0.030 0.000 0.249
Sm2 0.155 0.500 0.750
Dy1 0.000 0.500 0.500
Er1 0.000 0.500 0.000
Er2 0.173 0.000 0.050
Er3 0.174 0.000 0.448
```


Density functional theory data (GGA-PBE) for an optimized crystal structure of Sm12DyEr7.

* energy above the lowest structure with this stoichiometry: 30 meV/atom
* total moment: 0.000 μB/atom
* V: 667 Å³/f.u.
* energy of formation from the pure elements: 0.29 eV/atom

```
data_Sm12DyEr7
_chemical_formula_sum 'Sm36 Dy3 Er21'
_cell_length_a 12.8579
_cell_length_b 12.8579
_cell_length_c 13.9732
_cell_angle_alpha 90.00
_cell_angle_beta 90.00
_cell_angle_gamma 120.00
_space_group_name_H-M_alt 'R -3'
_space_group_IT_number 148
_space_group_name_Hall '-R 3'
loop_
_atom_site_label
_atom_site_fract_x
_atom_site_fract_y
_atom_site_fract_z
Sm1 0.0016 0.5677 0.2475
Sm2 0.0666 0.8689 0.3423
Dy1 0.0000 0.0000 0.0000
Er1 0.0000 0.0000 0.5000
Er2 0.0669 0.1996 0.8540
```


Density functional theory data (GGA-PBE) for an optimized crystal structure of Sm2Dy5Er4.

* energy above the lowest structure with this stoichiometry: 0 meV/atom
* total moment: 0.000 μB/atom
* V: 346 Å³/f.u.
* energy of formation from the pure elements: 0.02 eV/atom

```
data_Sm2Dy5Er4
_chemical_formula_sum 'Sm2 Dy5 Er4'
_cell_length_a 3.540
_cell_length_b 8.680
_cell_length_c 11.751
_cell_angle_alpha 75.86
_cell_angle_beta 81.38
_cell_angle_gamma 89.98
_space_group_name_H-M_alt 'P -1'
_space_group_IT_number 2
loop_
_space_group_symop_operation_xyz
'x,y,z'
'-x,-y,-z'
loop_
_atom_site_label
_atom_site_fract_x
_atom_site_fract_y
_atom_site_fract_z
Sm1 0.090 0.227 0.318
Dy1 0.000 0.500 0.500
Dy2 0.273 0.683 0.955
Dy3 0.363 0.407 0.773
Er1 0.182 0.954 0.136
Er2 0.454 0.137 0.592
```


Question: Look up the total moment of the first one.
Answer: 0.000 μB/atom